1.
Here is a relaxed structure of SrPu2BeN4 from Alexandria via LeMat-Bulk. Energies are from PBE. Values from VASP.

The structure in Quantum ESPRESSO input format:
```
&SYSTEM
  ibrav = 0, nat = 16, ntyp = 4
/
ATOMIC_SPECIES
Sr 87.62 Sr.upf
Pu 244.00 Pu.upf
Be 9.01 Be.upf
N 14.01 N.upf
CELL_PARAMETERS angstrom
1.733 -5.773 0.000
1.733 5.773 0.000
0.000 0.000 11.099
ATOMIC_POSITIONS crystal
Sr 0.098 0.902 0.750
Sr 0.902 0.098 0.250
Pu 0.368 0.632 0.555
Pu 0.368 0.632 0.945
Pu 0.632 0.368 0.055
Pu 0.632 0.368 0.445
Be 0.183 0.817 0.250
Be 0.817 0.183 0.750
N 0.000 0.000 0.000
N 0.000 0.000 0.500
N 0.255 0.745 0.117
N 0.255 0.745 0.383
N 0.410 0.590 0.750
N 0.590 0.410 0.250
N 0.745 0.255 0.617
N 0.745 0.255 0.883
```

Properties
The uncorrected formation energy comes out at -1147 meV per atom. The space group is Cmcm (63). For the density of states at the Fermi level, the calculation gives 1.309 states/eV/atom. Its crystal system is orthorhombic.



2.
Here is a relaxed structure of Fe2HgP from Alexandria via LeMat-Bulk. Energies are from PBE. Values from VASP.

The structure in Quantum ESPRESSO input format:
```
&SYSTEM
  ibrav = 0, nat = 4, ntyp = 3
/
ATOMIC_SPECIES
Fe 55.84 Fe.upf
Hg 200.59 Hg.upf
P 30.97 P.upf
CELL_PARAMETERS angstrom
2.881 0.000 0.000
0.000 4.136 0.000
-1.351 0.000 5.151
ATOMIC_POSITIONS crystal
Fe 0.000 0.000 0.000
Fe 0.368 0.500 0.799
Hg 0.650 0.500 0.311
P 0.355 0.000 0.668
```

Properties
The space group is Pm (6). For the density of states at the Fermi level, the calculation gives 0.800 states/eV/atom. Its crystal system is monoclinic. As for the formation energy from the elements: 0.222 eV per atom. The energy above the lowest structure with this stoichiometry is 0.73 eV/f.u.



3.
Here is a relaxed structure of La2Tb5PrTh from Alexandria via LeMat-Bulk. Energies are from PBE. Values from VASP.

The structure in Quantum ESPRESSO input format:
```
&SYSTEM
  ibrav = 0, nat = 18, ntyp = 4
/
ATOMIC_SPECIES
La 138.91 La.upf
Tb 158.93 Tb.upf
Pr 140.91 Pr.upf
Th 232.04 Th.upf
CELL_PARAMETERS angstrom
2.856 -10.114 0.000
2.856 10.114 0.000
0.000 0.000 10.657
ATOMIC_POSITIONS crystal
La 0.116 0.884 0.500
La 0.117 0.883 0.908
La 0.883 0.117 0.408
La 0.884 0.116 0.000
Tb 0.016 0.984 0.204
Tb 0.277 0.723 0.494
Tb 0.298 0.702 0.888
Tb 0.389 0.611 0.203
Tb 0.479 0.521 0.917
Tb 0.521 0.479 0.417
Tb 0.611 0.389 0.703
Tb 0.702 0.298 0.388
Tb 0.723 0.277 0.994
Tb 0.984 0.016 0.704
Pr 0.413 0.587 0.631
Pr 0.587 0.413 0.131
Th 0.202 0.798 0.192
Th 0.798 0.202 0.692
```

Properties
The space group is Cmc2_1 (36). For the density of states at the Fermi level, the calculation gives 1.428 states/eV/atom. Its crystal system is orthorhombic. As for the formation energy from the elements: 0.156 eV per atom.



4.
Here is a relaxed structure of KSnSe2 from Alexandria via LeMat-Bulk. Energies are from PBE. Values from VASP.

The structure in Quantum ESPRESSO input format:
```
&SYSTEM
  ibrav = 0, nat = 32, ntyp = 3
/
ATOMIC_SPECIES
K 39.10 K.upf
Sn 118.71 Sn.upf
Se 78.96 Se.upf
CELL_PARAMETERS angstrom
9.372 0.000 0.000
0.000 7.485 0.000
0.000 0.000 15.586
ATOMIC_POSITIONS crystal
K 0.009 0.250 0.144
K 0.132 0.750 0.306
K 0.368 0.250 0.806
K 0.491 0.750 0.644
K 0.509 0.250 0.356
K 0.632 0.750 0.194
K 0.868 0.250 0.694
K 0.991 0.750 0.856
Sn 0.111 0.750 0.537
Sn 0.221 0.750 0.069
Sn 0.279 0.250 0.569
Sn 0.389 0.250 0.037
Sn 0.611 0.750 0.963
Sn 0.721 0.750 0.431
Sn 0.779 0.250 0.931
Sn 0.889 0.250 0.463
Se 0.045 0.250 0.924
Se 0.172 0.250 0.417
Se 0.173 0.508 0.661
Se 0.173 0.992 0.661
Se 0.327 0.008 0.161
Se 0.327 0.492 0.161
Se 0.328 0.750 0.917
Se 0.455 0.750 0.424
Se 0.545 0.250 0.576
Se 0.672 0.250 0.083
Se 0.673 0.508 0.839
Se 0.673 0.992 0.839
Se 0.827 0.008 0.339
Se 0.827 0.492 0.339
Se 0.828 0.750 0.583
Se 0.955 0.750 0.076
```

Properties
The uncorrected formation energy comes out at -773 meV per atom. The space group is Pnma (62). Its crystal system is orthorhombic.



5.
Here is a relaxed structure of Sc2AgPd6 from Alexandria via LeMat-Bulk. Energies are from PBE. Values from VASP.

The structure in Quantum ESPRESSO input format:
```
&SYSTEM
  ibrav = 0, nat = 9, ntyp = 3
/
ATOMIC_SPECIES
Sc 44.96 Sc.upf
Ag 107.87 Ag.upf
Pd 106.42 Pd.upf
CELL_PARAMETERS angstrom
7.634 0.000 0.000
-3.817 6.611 0.000
0.000 0.000 2.965
ATOMIC_POSITIONS crystal
Sc 0.333 0.667 0.000
Sc 0.667 0.333 0.000
Ag 0.000 0.000 0.500
Pd 0.000 0.369 0.500
Pd 0.000 0.692 0.000
Pd 0.308 0.308 0.000
Pd 0.369 0.000 0.500
Pd 0.631 0.631 0.500
Pd 0.692 0.000 0.000
```

Properties
The space group is P-62m (189). For the density of states at the Fermi level, the calculation gives 0.364 states/eV/atom. Its crystal system is hexagonal. As for the formation energy from the elements: -0.541 eV per atom. The energy above the lowest structure with this stoichiometry is 0.00 eV/f.u.



6.
Here is a relaxed structure of ZnCd2C2O6 from Alexandria via LeMat-Bulk. Energies are from PBE. Values from VASP.

The structure in Quantum ESPRESSO input format:
```
&SYSTEM
  ibrav = 0, nat = 11, ntyp = 4
/
ATOMIC_SPECIES
Zn 65.41 Zn.upf
Cd 112.41 Cd.upf
C 12.01 C.upf
O 16.00 O.upf
CELL_PARAMETERS angstrom
4.783 0.000 0.000
-2.392 4.143 0.000
0.000 0.000 7.477
ATOMIC_POSITIONS crystal
Zn 0.000 0.000 0.000
Cd 0.333 0.667 0.370
Cd 0.667 0.333 0.630
C 0.333 0.667 0.833
C 0.667 0.333 0.167
O 0.074 0.689 0.829
O 0.311 0.385 0.829
O 0.385 0.074 0.171
O 0.615 0.926 0.829
O 0.689 0.615 0.171
O 0.926 0.311 0.171
```

Properties
The uncorrected formation energy comes out at -1158 meV per atom. The space group is P-3 (147). Its crystal system is trigonal.



7.
Here is a relaxed structure of FeTcPt from Alexandria via LeMat-Bulk. Energies are from PBE. Values from VASP.

The structure in Quantum ESPRESSO input format:
```
&SYSTEM
  ibrav = 0, nat = 3, ntyp = 3
/
ATOMIC_SPECIES
Fe 55.84 Fe.upf
Tc 98.00 Tc.upf
Pt 195.08 Pt.upf
CELL_PARAMETERS angstrom
4.303 0.000 0.000
-2.151 3.726 0.000
0.000 0.000 2.635
ATOMIC_POSITIONS crystal
Fe 0.000 0.000 0.000
Tc 0.333 0.667 0.500
Pt 0.667 0.333 0.000
```

Properties
The space group is P-6m2 (187). For the density of states at the Fermi level, the calculation gives 0.824 states/eV/atom. Its crystal system is hexagonal. As for the formation energy from the elements: -0.022 eV per atom. The energy above the lowest structure with this stoichiometry is 0.13 eV/f.u.



8.
Here is a relaxed structure of SrP2AuO8 from Alexandria via LeMat-Bulk. Energies are from PBE. Values from VASP.

The structure in Quantum ESPRESSO input format:
```
&SYSTEM
  ibrav = 0, nat = 12, ntyp = 4
/
ATOMIC_SPECIES
Sr 87.62 Sr.upf
P 30.97 P.upf
Au 196.97 Au.upf
O 16.00 O.upf
CELL_PARAMETERS angstrom
2.434 1.405 7.798
-2.434 1.405 7.798
0.000 -2.811 7.798
ATOMIC_POSITIONS crystal
Sr 0.000 0.000 0.000
P 0.248 0.248 0.248
P 0.752 0.752 0.752
Au 0.500 0.500 0.500
O 0.085 0.477 0.754
O 0.246 0.523 0.915
O 0.313 0.313 0.313
O 0.477 0.754 0.085
O 0.523 0.915 0.246
O 0.687 0.687 0.687
O 0.754 0.085 0.477
O 0.915 0.246 0.523
```

Properties
The uncorrected formation energy comes out at -1685 meV per atom. The space group is R32 (155). For the density of states at the Fermi level, the calculation gives 0.402 states/eV/atom. Its crystal system is trigonal.



9.
Here is a relaxed structure of CdTe2Mo from Alexandria via LeMat-Bulk. Energies are from PBE. Values from VASP.

The structure in Quantum ESPRESSO input format:
```
&SYSTEM
  ibrav = 0, nat = 16, ntyp = 3
/
ATOMIC_SPECIES
Cd 112.41 Cd.upf
Te 127.60 Te.upf
Mo 95.94 Mo.upf
CELL_PARAMETERS angstrom
6.414 0.000 0.000
0.000 6.414 0.000
0.000 0.000 12.742
ATOMIC_POSITIONS crystal
Cd 0.000 0.000 0.000
Cd 0.000 0.500 0.250
Cd 0.500 0.000 0.750
Cd 0.500 0.500 0.500
Te 0.209 0.250 0.625
Te 0.250 0.709 0.875
Te 0.250 0.791 0.375
Te 0.291 0.250 0.125
Te 0.709 0.750 0.125
Te 0.750 0.209 0.375
Te 0.750 0.291 0.875
Te 0.791 0.750 0.625
Mo 0.000 0.000 0.500
Mo 0.000 0.500 0.750
Mo 0.500 0.000 0.250
Mo 0.500 0.500 0.000
```

Properties
The uncorrected formation energy comes out at 314 meV per atom. The space group is I-42d (122). For the density of states at the Fermi level, the calculation gives 1.289 states/eV/atom. Its crystal system is tetragonal.



10.
Here is a relaxed structure of AlVRe2 from Alexandria via LeMat-Bulk. Energies are from PBE. Values from VASP.

The structure in Quantum ESPRESSO input format:
```
&SYSTEM
  ibrav = 0, nat = 8, ntyp = 3
/
ATOMIC_SPECIES
Al 26.98 Al.upf
V 50.94 V.upf
Re 186.21 Re.upf
CELL_PARAMETERS angstrom
2.588 0.000 0.000
0.000 4.450 0.000
0.000 0.000 11.575
ATOMIC_POSITIONS crystal
Al 0.000 0.000 0.000
Al 0.500 0.500 0.500
V 0.000 0.000 0.500
V 0.500 0.500 0.000
Re 0.000 0.000 0.292
Re 0.000 0.000 0.708
Re 0.500 0.500 0.208
Re 0.500 0.500 0.792
```

Properties
The space group is Immm (71). For the density of states at the Fermi level, the calculation gives 0.859 states/eV/atom. Its crystal system is orthorhombic. As for the formation energy from the elements: 0.532 eV per atom.



| no. | total DFT energy (no corrections) (eV per atom) | total magnetization (μB per formula unit) | calculated density (g cm⁻³) |
| --- | --- | --- | --- |
| 1 | -9.57 | 8.000 | 9.6 |
| 2 | -5.44 | 3.884 | 9.3 |
| 3 | -4.87 | 0.000 | 7.8 |
| 4 | -3.79 | 0.000 | 3.8 |
| 5 | -5.73 | 0.000 | 9.3 |
| 6 | -5.82 | 0.000 | 4.6 |
| 7 | -8.31 | 1.999 | 13.7 |
| 8 | -6.31 | 1.068 | 4.9 |
| 9 | -4.19 | 0.000 | 5.9 |
| 10 | -8.91 | 0.000 | 11.2 |